Record 1
The following is a DFT calculation (PBE-GGA) of a relaxed AgSbPS2 crystal.

The structure in POSCAR format:
```
AgSbPS2
1.0
5.0375 0.0000 0.0000
0.0000 5.0375 0.0000
0.0000 0.0000 5.1405
Ag Sb P S
1 1 1 2
direct
0.0000 0.0000 0.0000 Ag
0.5000 0.5000 0.5000 Sb
0.5000 0.5000 0.0000 P
0.0000 0.5000 0.5000 S
0.5000 0.0000 0.5000 S
```

## Properties
formation energy without anion corrections	3.970	eV/f.u.
calculated density	4134	kg/m³
energy above the lowest structure with this stoichiometry	0.000	eV/atom

***

Record 2
The following is a DFT calculation (PBE-GGA) of a relaxed Ag2SbPS4 crystal.

The structure in POSCAR format:
```
Ag2SbPS4
1.0
6.2323 -3.6855 0.0000
6.2323 3.6855 0.0000
-4.4535 0.0000 8.4358
Ag Sb P S
4 2 2 8
direct
0.0000 0.0000 0.0000 Ag
0.0858 0.4932 0.9427 Ag
0.4932 0.0858 0.9427 Ag
0.5124 0.5124 0.7378 Ag
0.4111 0.9194 0.4058 Sb
0.9194 0.4111 0.4058 Sb
0.5802 0.5802 0.0213 P
0.9913 0.9913 0.5916 P
0.0083 0.0083 0.2706 S
0.3204 0.3204 0.4798 S
0.3425 0.8911 0.6685 S
0.4561 0.9181 0.1272 S
0.4602 0.4602 0.1232 S
0.8888 0.8888 0.7131 S
0.8911 0.3425 0.6685 S
0.9181 0.4561 0.1272 S
```

## Properties
formation energy without anion corrections	-1.054	eV/f.u.
calculated density	4257	kg/m³

***

Record 3
The following is a DFT calculation (PBE-GGA) of a relaxed AgSbP2S crystal.

The structure in POSCAR format:
```
AgSbP2S
1.0
4.7930 0.0000 0.0000
0.0000 4.7930 0.0000
0.0000 0.0000 4.8455
Ag Sb P S
1 1 2 1
direct
0.0000 0.0000 0.0000 Ag
0.5000 0.5000 0.5000 Sb
0.0000 0.5000 0.0000 P
0.5000 0.0000 0.0000 P
0.0000 0.0000 0.5000 S
```

## Properties
formation energy without anion corrections	4.861	eV/f.u.
calculated density	4828	kg/m³
energy above the lowest structure with this stoichiometry	0.000	eV/atom

***

Record 4
The following is a DFT calculation (PBE-GGA) of a relaxed Sc2AgPS crystal.

The structure in POSCAR format:
```
Sc2AgPS
1.0
5.2778 0.0000 0.0000
0.0000 5.2778 0.0000
0.0000 0.0000 4.3297
Sc Ag P S
2 1 1 1
direct
0.0000 0.5000 0.0000 Sc
0.5000 0.0000 0.0000 Sc
0.0000 0.0000 0.0000 Ag
0.0000 0.0000 0.5000 P
0.5000 0.5000 0.5000 S
```

## Properties
formation energy without anion corrections	1.066	eV/f.u.
calculated density	3591	kg/m³

***

Record 5
The following is a DFT calculation (PBE-GGA) of a relaxed ScAgPS2 crystal.

The structure in POSCAR format:
```
ScAgPS2
1.0
4.7978 0.0000 0.0000
0.0000 4.7978 0.0000
0.0000 0.0000 4.7070
Sc Ag P S
1 1 1 2
direct
0.0000 0.0000 0.0000 Sc
0.5000 0.5000 0.5000 Ag
0.5000 0.5000 0.0000 P
0.0000 0.5000 0.5000 S
0.5000 0.0000 0.5000 S
```

## Properties
formation energy without anion corrections	1.501	eV/f.u.
calculated density	3800	kg/m³
energy above the lowest structure with this stoichiometry	0.268	eV/atom

***

Record 6
The following is a DFT calculation (PBE-GGA) of a relaxed ScAgPS2 crystal.

The structure in POSCAR format:
```
ScAgPS2
1.0
4.8986 0.0000 0.0000
0.0000 4.8986 0.0000
0.0000 0.0000 5.0199
Sc Ag P S
1 1 1 2
direct
0.0000 0.0000 0.0000 Sc
0.5000 0.5000 0.5000 Ag
0.0000 0.0000 0.5000 P
0.0000 0.5000 0.0000 S
0.5000 0.0000 0.0000 S
```

## Properties
formation energy without anion corrections	0.160	eV/f.u.
calculated density	3418	kg/m³
energy above the lowest structure with this stoichiometry	0.000	eV/atom

***

Record 7
The following is a DFT calculation (PBE-GGA) of a relaxed AgP2SeS crystal.

The structure in POSCAR format:
```
AgP2SeS
1.0
4.8228 0.0000 0.0000
0.0000 4.8228 0.0000
0.0000 0.0000 4.8026
Ag P Se S
1 2 1 1
direct
0.0000 0.0000 0.0000 Ag
0.0000 0.5000 0.5000 P
0.5000 0.0000 0.5000 P
0.5000 0.5000 0.5000 Se
0.5000 0.5000 0.0000 S
```

## Properties
formation energy without anion corrections	5.321	eV/f.u.
calculated density	4175	kg/m³
energy above the lowest structure with this stoichiometry	0.000	eV/atom

***

Record 8
The following is a DFT calculation (PBE-GGA) of a relaxed SiAgP2S crystal.

The structure in POSCAR format:
```
SiAgP2S
1.0
4.5644 0.0000 0.0000
0.0000 4.5644 0.0000
0.0000 0.0000 4.5205
Si Ag P S
1 1 2 1
direct
0.0000 0.0000 0.0000 Si
0.5000 0.5000 0.5000 Ag
0.0000 0.5000 0.0000 P
0.5000 0.0000 0.0000 P
0.0000 0.0000 0.5000 S
```

## Properties
formation energy without anion corrections	3.403	eV/f.u.
calculated density	4055	kg/m³
energy above the lowest structure with this stoichiometry	0.000	eV/atom